# Mg3Be, optimized geometry, DFT PBEsol
data_Mg3Be
_cell_length_a 4.677
_cell_length_b 5.892
_cell_length_c 5.300
_cell_angle_alpha 90.00
_cell_angle_beta 90.00
_cell_angle_gamma 90.00
_symmetry_space_group_name_H-M 'P m m n'
_symmetry_Int_Tables_number 59
loop_
_symmetry_equiv_pos_as_xyz
'x,y,z'
'-x,-y,-z'
'-x+1/2,-y+1/2,z'
'x+1/2,y+1/2,-z'
'x+1/2,-y,-z'
'-x+1/2,y,z'
'-x,y+1/2,-z'
'x,-y+1/2,z'
loop_
_atom_site_label
_atom_site_fract_x
_atom_site_fract_y
_atom_site_fract_z
Mg1 0.250 0.001 0.164
Mg2 0.250 0.250 0.630
Be1 0.250 0.750 0.699
# ΔH_f (0 K) in eV per formula unit: 1.0
# ρ in g/cm³: 1.9
# Electronic total energy in eV/atom: -2.041

# Mg2Be, optimized geometry, DFT PBEsol
data_Mg2Be
_cell_length_a 3.0198
_cell_length_b 3.0198
_cell_length_c 6.7701
_cell_angle_alpha 90.00
_cell_angle_beta 90.00
_cell_angle_gamma 120.00
_symmetry_space_group_name_H-M 'P -3 m 1'
_symmetry_Int_Tables_number 164
_symmetry_space_group_name_Hall '-P 3 2"'
loop_
_atom_site_label
_atom_site_fract_x
_atom_site_fract_y
_atom_site_fract_z
Mg1 0.3333 0.6667 0.3015
Be1 0.0000 0.0000 0.0000
# ΔH_f (0 K) in eV per formula unit: 1.2
# ρ in g/cm³: 1.8
# Electronic total energy in eV/atom: -2.090

# Mg2Be, optimized geometry, DFT PBEsol
data_Mg2Be
_cell_length_a 4.5119
_cell_length_b 4.5119
_cell_length_c 5.8456
_cell_angle_alpha 90.00
_cell_angle_beta 90.00
_cell_angle_gamma 120.00
_symmetry_space_group_name_H-M 'P 63/m m c'
_symmetry_Int_Tables_number 194
_symmetry_space_group_name_Hall '-P 6c 2c'
loop_
_atom_site_label
_atom_site_fract_x
_atom_site_fract_y
_atom_site_fract_z
Mg1 0.0000 0.0000 0.0000
Mg2 0.3333 0.6667 0.2500
Be1 0.3333 0.6667 0.7500
# ΔH_f (0 K) in eV per formula unit: 0.9
# ρ in g/cm³: 1.9
# Electronic total energy in eV/atom: -2.168

# Mg2BeMo, optimized geometry, DFT PBEsol
data_Mg2BeMo
_cell_length_a 2.766
_cell_length_b 4.166
_cell_length_c 5.433
_cell_angle_alpha 90.00
_cell_angle_beta 90.00
_cell_angle_gamma 90.00
_symmetry_space_group_name_H-M 'P m m m'
_symmetry_Int_Tables_number 47
_symmetry_space_group_name_Hall '-P 2 2'
loop_
_atom_site_label
_atom_site_fract_x
_atom_site_fract_y
_atom_site_fract_z
Mg1 0.000 0.000 0.249
Be1 0.500 0.500 0.000
Mo1 0.500 0.500 0.500
# ΔH_f (0 K) in eV per formula unit: 2.1
# ρ in g/cm³: 4.1
# Electronic total energy in eV/atom: -4.272

# MgBeMo, optimized geometry, DFT PBEsol
data_MgBeMo
_cell_length_a 5.642
_cell_length_b 5.642
_cell_length_c 5.642
_cell_angle_alpha 90.00
_cell_angle_beta 90.00
_cell_angle_gamma 90.00
_symmetry_space_group_name_H-M 'F -4 3 m'
_symmetry_Int_Tables_number 216
_symmetry_space_group_name_Hall 'F -4 2 3'
loop_
_atom_site_label
_atom_site_fract_x
_atom_site_fract_y
_atom_site_fract_z
Mg1 0.000 0.000 0.000
Be1 0.250 0.250 0.250
Mo1 0.000 0.000 0.500
# ΔH_f (0 K) in eV per formula unit: 2.4
# ρ in g/cm³: 4.8
# Electronic total energy in eV/atom: -5.038

# Mg2BeMo, optimized geometry, DFT PBEsol
data_Mg2BeMo
_cell_length_a 3.579
_cell_length_b 4.084
_cell_length_c 8.500
_cell_angle_alpha 90.00
_cell_angle_beta 90.00
_cell_angle_gamma 90.00
_symmetry_space_group_name_H-M 'C m m m'
_symmetry_Int_Tables_number 65
_symmetry_space_group_name_Hall '-C 2 2'
loop_
_atom_site_label
_atom_site_fract_x
_atom_site_fract_y
_atom_site_fract_z
Mg1 0.000 0.000 0.233
Be1 0.000 0.500 0.000
Mo1 0.000 0.500 0.500
# ΔH_f (0 K) in eV per formula unit: 1.7
# ρ in g/cm³: 4.1
# Electronic total energy in eV/atom: -4.386